Record 1
The following is a DFT calculation (PBE-GGA) of crystalline InReNiH2 at its relaxed geometry.

Properties
As for the energy: -4.40 eV per atom.

Unit cell a=3.5657 b=5.5775 c=3.5657 alpha=90.00 beta=90.00 gamma=90.00
Fractional coordinates of all 5 atoms:
Re: 0.5000 0.5000 0.5000
Ni: 0.0000 0.5000 0.0000
H: 0.0000 0.0000 0.5000
H: 0.5000 0.0000 0.0000
In: 0.0000 0.0000 0.0000

Record 2
The following is a DFT calculation (PBE-GGA) of crystalline InNi2HRh at its relaxed geometry.

Properties
Its polymorph energy (0 for the lowest one) is 0 meV per atom.

Unit cell a=3.8536 b=3.8536 c=3.9026 alpha=90.00 beta=90.00 gamma=90.00
Fractional coordinates of all 5 atoms:
Ni: 0.0000 0.5000 0.0000
Ni: 0.5000 0.0000 0.0000
Rh: 0.0000 0.0000 0.5000
H: 0.0000 0.0000 0.0000
In: 0.5000 0.5000 0.5000

Record 3
The following is a DFT calculation (PBE-GGA) of crystalline InNi2HRh at its relaxed geometry.

Properties
Its polymorph energy (0 for the lowest one) is 211 meV per atom.

Unit cell a=3.7205 b=3.7205 c=4.2797 alpha=90.00 beta=90.00 gamma=90.00
Fractional coordinates of all 5 atoms:
Ni: 0.0000 0.5000 0.0000
Ni: 0.5000 0.0000 0.0000
Rh: 0.5000 0.5000 0.5000
H: 0.0000 0.0000 0.0000
In: 0.0000 0.0000 0.5000

Record 4
The following is a DFT calculation (PBE-GGA) of crystalline In2NiHRh at its relaxed geometry.

Properties
As for the energy: -4.52 eV per atom.

Unit cell a=4.6865 b=4.6865 c=3.1761 alpha=90.00 beta=90.00 gamma=90.00
Fractional coordinates of all 5 atoms:
Ni: 0.0000 0.0000 0.5000
Rh: 0.5000 0.5000 0.5000
H: 0.0000 0.0000 0.0000
In: 0.0000 0.5000 0.0000
In: 0.5000 0.0000 0.0000

Record 5
The following is a DFT calculation (PBE-GGA) of crystalline InTcNi2H at its relaxed geometry.

Properties
As for the energy: -5.52 eV per atom.

Unit cell a=3.8818 b=3.8818 c=3.9121 alpha=90.00 beta=90.00 gamma=90.00
Fractional coordinates of all 5 atoms:
Ni: 0.0000 0.5000 0.0000
Ni: 0.5000 0.0000 0.0000
Tc: 0.0000 0.0000 0.5000
H: 0.0000 0.0000 0.0000
In: 0.5000 0.5000 0.5000

Record 6
The following is a DFT calculation (PBE-GGA) of crystalline TiInNi2H at its relaxed geometry.

Properties
As for the energy: -5.25 eV per atom.

Unit cell a=4.0026 b=4.0026 c=3.8070 alpha=90.00 beta=90.00 gamma=90.00
Fractional coordinates of all 5 atoms:
Ni: 0.0000 0.5000 0.0000
Ni: 0.5000 0.0000 0.0000
Ti: 0.0000 0.0000 0.5000
H: 0.0000 0.0000 0.0000
In: 0.5000 0.5000 0.5000

Number 1: total moment 3.1 μB per formula unit. Number 2: total moment 0.5 μB per formula unit. Number 3: total moment 0.8 μB per formula unit. Number 4: total moment 0.0 μB per formula unit. Number 5: total moment 1.3 μB per formula unit. Number 6: total moment 1.5 μB per formula unit.